Record 1
## Ba2MgAu (PBE)

Data for an optimized crystal structure of Ba2MgAu.

abc: 5.9113 5.9113 4.1711
angles: 90.00 90.00 90.02
With the nearest neighbours (Å) after each atom.
Element x y z (fractional)
Au  0.0000  0.5000  0.5000  8 Ba 3.62
Ba  0.0000  0.0000  0.0000  4 Au 3.62, 4 Mg 3.62
Ba  0.5000  0.5000  0.0000  4 Mg 3.62, 4 Au 3.62
Mg  0.5000  0.0000  0.5000  8 Ba 3.62

## Properties
- D(E_F): 3.8 states/eV/cell
- Uncorrected energy: -9.98 eV per cell
- Spin magnetization: 0.0 μB/f.u.
- Symmetry: P4/mmm



Record 2
## Sm6GeP3S2 (PBE)

Data for an optimized crystal structure of Sm6GeP3S2.

abc: 4.0950 8.2255 9.1759
angles: 102.90 102.89 90.00
With the nearest neighbours (Å) after each atom.
Element x y z (fractional)
Sm  0.3319  0.9200  0.6638  3 P 2.86-2.89, 1 Ge 2.93, 2 S 2.95
Sm  0.6648  0.5885  0.3295  3 P 2.86-2.87, 3 S 2.90-2.92
Sm  0.6681  0.0800  0.3362  3 P 2.86-2.89, 1 Ge 2.93, 2 S 2.95
Sm  0.9998  0.2547  0.9997  3 P 2.87-2.92, 2 Ge 2.93, 1 S 2.94
Sm  0.0002  0.7453  0.0003  3 P 2.87-2.92, 2 Ge 2.93, 1 S 2.94
Sm  0.3352  0.4115  0.6705  3 P 2.86-2.87, 3 S 2.90-2.92
Ge  0.5000  0.0000  0.0000  6 Sm 2.93
P  0.5000  0.5000  0.0000  6 Sm 2.87
P  0.8324  0.1680  0.6647  6 Sm 2.86-2.92
P  0.1676  0.8320  0.3353  6 Sm 2.86-2.92
S  0.8312  0.6623  0.6623  6 Sm 2.90-2.95
S  0.1688  0.3377  0.3377  6 Sm 2.90-2.95

## Properties
- D(E_F): 2.5 states/eV/cell
- Uncorrected energy: -77.20 eV per cell
- Spin magnetization: 0.0 μB/f.u.
- Symmetry: C2/m



Record 3
## Na3Ce2PtSe6 (PBE)

Data for an optimized crystal structure of Na3Ce2PtSe6.

abc: 7.0664 7.0664 7.4249
angles: 98.79 98.79 119.80
With the nearest neighbours (Å) after each atom.
Element x y z (fractional)
Na  0.1648  0.8352  0.5000  6 Se 2.98-3.11
Na  0.8352  0.1648  0.5000  6 Se 2.98-3.11
Na  0.5000  0.5000  0.5000  6 Se 2.97-3.28
Ce  0.3288  0.6712  0.0000  6 Se 2.89-2.95
Ce  0.6712  0.3288  0.0000  6 Se 2.89-2.95
Pt  0.0000  0.0000  0.0000  6 Se 2.59-2.82
Se  0.9172  0.5990  0.7650  1 Pt 2.82, 2 Ce 2.89-2.91, 3 Na 2.97-3.11
Se  0.7710  0.7710  0.2125  1 Pt 2.59
Se  0.0828  0.4010  0.2350  1 Pt 2.82, 2 Ce 2.89-2.91, 3 Na 2.97-3.11
Se  0.5990  0.9172  0.7650  1 Pt 2.82, 2 Ce 2.89-2.91, 3 Na 2.97-3.11
Se  0.2290  0.2290  0.7875  1 Pt 2.59
Se  0.4010  0.0828  0.2350  1 Pt 2.82, 2 Ce 2.89-2.91, 3 Na 2.97-3.11

## Properties
- D(E_F): 14.0 states/eV/cell
- Uncorrected energy: -57.18 eV per cell
- Spin magnetization: 1.3 μB/f.u.
- Symmetry: C2/m



Record 4
## Zn3CuAu (PBE)

Data for an optimized crystal structure of Zn3CuAu.

abc: 4.2297 5.3985 6.9672
angles: 90.00 108.55 90.00
With the nearest neighbours (Å) after each atom.
Element x y z (fractional)
Zn  0.8903  0.0044  0.7594  5 Zn 2.65-2.78, 3 Cu 2.70-2.74, 2 Au 2.71
Zn  0.1097  0.9956  0.2406  5 Zn 2.65-2.78, 3 Cu 2.70-2.74, 2 Au 2.71
Zn  0.8903  0.4956  0.7594  5 Zn 2.65-2.78, 3 Cu 2.70-2.74, 2 Au 2.71
Zn  0.1097  0.5044  0.2406  5 Zn 2.65-2.78, 3 Cu 2.70-2.74, 2 Au 2.71
Zn  0.3119  0.7500  0.6100  4 Cu 2.50-2.70, 1 Au 2.67, 6 Zn 2.71-2.78
Zn  0.6881  0.2500  0.3900  4 Cu 2.50-2.70, 1 Au 2.67, 6 Zn 2.71-2.78
Cu  0.7014  0.7500  0.4049  10 Zn 2.50-2.74, 1 Au 2.64
Cu  0.2986  0.2500  0.5951  10 Zn 2.50-2.74, 1 Au 2.64
Au  0.4119  0.7500  0.0086  1 Cu 2.64, 5 Zn 2.67-2.71, 2 Au 2.81
Au  0.5881  0.2500  0.9914  1 Cu 2.64, 5 Zn 2.67-2.71, 2 Au 2.81

## Properties
- Energy above the most stable polymorph in this dataset: 0.028 eV per atom
- D(E_F): 2.1 states/eV/cell
- Uncorrected energy: -23.30 eV per cell
- Spin magnetization: 0.0 μB/f.u.
- Symmetry: P2_1/m



Record 5
## Ni5MoPt8 (PBE)

Data for an optimized crystal structure of Ni5MoPt8.

abc: 6.4632 6.4632 6.4632
angles: 109.79 108.83 109.79
With the nearest neighbours (Å) after each atom.
Element x y z (fractional)
Ni  0.0281  0.3157  0.1160  8 Pt 2.50-2.75, 2 Ni 2.76
Ni  0.8840  0.9122  0.1998  8 Pt 2.50-2.75, 2 Ni 2.76
Ni  0.8002  0.6843  0.7124  8 Pt 2.50-2.75, 2 Ni 2.76
Ni  0.5000  0.0000  0.5000  8 Pt 2.45-2.59
Ni  0.2876  0.0878  0.9719  8 Pt 2.50-2.75, 2 Ni 2.76
Mo  0.2500  0.5000  0.7500  8 Pt 2.53-2.80
Pt  0.1397  0.7171  0.0687  5 Ni 2.45-2.63, 1 Mo 2.53, 1 Pt 2.74
Pt  0.9313  0.0711  0.6484  5 Ni 2.45-2.63, 1 Mo 2.53, 1 Pt 2.74
Pt  0.7569  0.2663  0.3561  5 Ni 2.59-2.75, 4 Pt 2.67-2.82, 1 Mo 2.80
Pt  0.6439  0.4009  0.9102  5 Ni 2.59-2.75, 4 Pt 2.67-2.82, 1 Mo 2.80
Pt  0.5094  0.5991  0.2431  5 Ni 2.59-2.75, 4 Pt 2.67-2.82, 1 Mo 2.80
Pt  0.5774  0.9289  0.8603  5 Ni 2.45-2.63, 1 Mo 2.53, 1 Pt 2.74
Pt  0.3516  0.2829  0.4226  5 Ni 2.45-2.63, 1 Mo 2.53, 1 Pt 2.74
Pt  0.0898  0.7337  0.4906  5 Ni 2.59-2.75, 4 Pt 2.67-2.82, 1 Mo 2.80

## Properties
- D(E_F): 20.2 states/eV/cell
- Uncorrected energy: -86.67 eV per cell
- Spin magnetization: 2.8 μB/f.u.
- Symmetry: I-4



Record 6
## ScTi2NbPd (PBE)

Data for an optimized crystal structure of ScTi2NbPd.

abc: 4.6028 4.5977 4.6028
angles: 90.00 90.00 90.00
With the nearest neighbours (Å) after each atom.
Element x y z (fractional)
Sc  0.0000  0.0000  0.0000  2 Pd 2.30, 4 Ti 2.30
Nb  0.5000  0.5000  0.5000  8 Ti 3.25, 4 Pd 3.25
Pd  0.0000  0.5000  0.0000  2 Sc 2.30
Ti  0.0000  0.0000  0.5000  2 Sc 2.30
Ti  0.5000  0.0000  0.0000  2 Sc 2.30

## Properties
- D(E_F): 5.8 states/eV/cell
- Uncorrected energy: -32.31 eV per cell
- Spin magnetization: 0.0 μB/f.u.
- Symmetry: P4/mmm